(1)
VASP calculation (PBE) on an optimized crystal structure of Ca4HgAu2.

```
7
Lattice="-3.6513 3.6513 3.7333 3.6513 -3.6513 3.7333 3.6513 3.6513 -3.7333" Properties=species:S:1:pos:R:3 pbc="T T T"
Ca 1.8257 1.8257 -1.8667
Ca 1.8257 -1.8257 1.8667
Ca -1.8257 1.8257 1.8667
Ca 1.8257 1.8257 1.8667
Hg 0.0000 0.0000 0.0000
Au 3.6513 0.0000 0.0000
Au 0.0000 3.6513 0.0000
```

D(E_F), states/eV/f.u.: 4.9

(2)
VASP calculation (PBE) on an optimized crystal structure of CrP2Rh.

```
4
Lattice="3.0249 0.0000 0.0000 0.0000 4.5073 0.0000 0.0000 0.0000 3.9000" Properties=species:S:1:pos:R:3 pbc="T T T"
Cr 0.0000 0.0000 0.0000
P 0.0000 2.2537 3.0724
P 1.5125 0.0000 1.9782
Rh 1.5125 2.2537 1.1248
```

D(E_F), states/eV/f.u.: 2.1

(3)
VASP calculation (PBE) on an optimized crystal structure of SnOsN3.

```
5
Lattice="4.0328 0.0000 0.0000 0.0000 4.0328 0.0000 0.0000 0.0000 4.0328" Properties=species:S:1:pos:R:3 pbc="T T T"
Sn 0.0000 0.0000 0.0000
Os 2.0164 2.0164 2.0164
N 0.0000 0.0000 2.0164
N 0.0000 2.0164 0.0000
N 2.0164 0.0000 0.0000
```

D(E_F), states/eV/f.u.: 5.6

(4)
VASP calculation (PBE) on an optimized crystal structure of RbNaGa2I8.

```
12
Lattice="3.7727 2.1782 10.8968 -3.7727 2.1782 10.8968 0.0000 -4.3564 10.8968" Properties=species:S:1:pos:R:3 pbc="T T T"
Rb 0.0000 0.0000 0.0000
Na 0.0000 0.0000 16.3453
Ga 0.0000 0.0000 8.2314
Ga 0.0000 0.0000 24.4591
I -2.6712 0.0335 14.3648
I -1.3647 -2.2966 18.3257
I 0.0000 0.0000 10.8146
I 1.3065 -2.3301 14.3648
I -1.3065 2.3301 18.3258
I 0.0000 0.0000 21.8759
I 1.3647 2.2966 14.3648
I 2.6712 -0.0336 18.3257
```

D(E_F), states/eV/f.u.: 0.0

(5)
VASP calculation (PBE) on an optimized crystal structure of PaRe2Sn.

```
4
Lattice="4.5230 0.0000 0.0000 0.0000 4.5230 0.0000 0.0000 0.0000 3.7049" Properties=species:S:1:pos:R:3 pbc="T T T"
Pa 0.0000 0.0000 0.0000
Re 0.0000 2.2615 1.8525
Re 2.2615 0.0000 1.8525
Sn 2.2615 2.2615 0.0000
```

D(E_F), states/eV/f.u.: 4.2

(6)
VASP calculation (PBE) on an optimized crystal structure of AlCr.

```
12
Lattice="7.2880 0.0000 0.0000 0.0000 7.2880 0.0000 0.0000 0.0000 7.2880" Properties=species:S:1:pos:R:3 pbc="T T T"
Al 0.0000 1.8220 3.6440
Al 0.0000 5.4660 3.6440
Al 1.8220 3.6440 0.0000
Al 3.6440 0.0000 1.8220
Al 3.6440 0.0000 5.4660
Al 5.4660 3.6440 0.0000
Cr 0.0000 3.6440 1.8220
Cr 0.0000 3.6440 5.4660
Cr 1.8220 0.0000 3.6440
Cr 3.6440 1.8220 0.0000
Cr 3.6440 5.4660 0.0000
Cr 5.4660 0.0000 3.6440
```

D(E_F), states/eV/f.u.: 1.8

(7)
VASP calculation (PBE) on an optimized crystal structure of Ce2Ge6Pt.

```
9
Lattice="6.1641 0.0000 0.0000 -3.0821 5.3383 0.0000 0.0000 0.0000 5.4117" Properties=species:S:1:pos:R:3 pbc="T T T"
Ce 0.0000 3.5589 0.9917
Ce 3.0821 1.7794 4.4201
Ge 0.0000 1.9368 3.7085
Ge -1.4047 4.3699 3.7085
Ge 1.6773 0.9684 1.7033
Ge 1.4047 4.3699 3.7085
Ge 4.4868 0.9684 1.7033
Ge 3.0821 3.4015 1.7033
Pt 0.0000 0.0000 0.0000
```

D(E_F), states/eV/f.u.: 11.5

(8)
VASP calculation (PBE) on an optimized crystal structure of Zr2InRu.

```
4
Lattice="3.2010 0.0000 0.0000 0.0000 3.1885 0.0000 -0.1987 0.0000 7.9211" Properties=species:S:1:pos:R:3 pbc="T T T"
Zr -0.0020 0.0000 2.2819
Zr 3.0043 0.0000 5.6392
In 1.6005 1.5942 0.0000
Ru 1.5011 1.5942 3.9606
```

D(E_F), states/eV/f.u.: 3.1

(9)
VASP calculation (PBE) on an optimized crystal structure of TbBC.

```
6
Lattice="6.4061 -1.8180 0.0000 6.4061 1.8180 0.0000 -0.2922 0.0000 3.6365" Properties=species:S:1:pos:R:3 pbc="T T T"
Tb 1.8457 0.0000 0.7640
Tb 10.6744 0.0000 2.8725
B 5.6418 0.0000 1.2944
B 6.8783 0.0000 2.3421
C 4.2289 0.0000 1.0158
C 8.2912 0.0000 2.6206
```

D(E_F), states/eV/f.u.: 0.5

(10)
VASP calculation (PBE) on an optimized crystal structure of CsIn3Fe.

```
5
Lattice="5.1883 0.0000 0.0000 0.0000 5.1883 0.0000 0.0000 0.0000 5.1883" Properties=species:S:1:pos:R:3 pbc="T T T"
Cs 0.0000 0.0000 0.0000
In 0.0000 2.5942 2.5942
In 2.5942 0.0000 2.5942
In 2.5942 2.5942 0.0000
Fe 2.5942 2.5942 2.5942
```

D(E_F), states/eV/f.u.: 0.2

(11)
VASP calculation (PBE) on an optimized crystal structure of HoThOsSe.

```
4
Lattice="2.0453 1.1808 7.1239 -2.0453 1.1808 7.1239 0.0000 -2.3617 7.1239" Properties=species:S:1:pos:R:3 pbc="T T T"
Ho 0.0000 0.0000 0.0000
Th 0.0000 0.0000 4.0627
Os 0.0000 0.0000 12.6758
Se 0.0000 0.0000 16.1587
```

D(E_F), states/eV/f.u.: 2.9

(12)
VASP calculation (PBE) on an optimized crystal structure of RuRh2Cl.

```
4
Lattice="4.2856 -1.3987 0.0000 4.2856 1.3987 0.0000 -0.4933 0.0000 6.4318" Properties=species:S:1:pos:R:3 pbc="T T T"
Ru 0.0000 0.0000 0.0000
Rh 1.8729 0.0000 5.4559
Rh 4.2315 0.0000 4.2788
Cl 4.7190 0.0000 1.9581
```

D(E_F), states/eV/f.u.: 5.0

(13)
VASP calculation (PBE) on an optimized crystal structure of CsPm2AuS4.

```
16
Lattice="2.0862 -7.2004 0.0000 2.0862 7.2004 0.0000 0.0000 0.0000 14.4223" Properties=species:S:1:pos:R:3 pbc="T T T"
Cs 2.0862 5.5537 10.8168
Cs 2.0862 -5.5537 3.6056
Pm 2.0862 1.8984 8.1401
Pm 2.0862 1.8984 13.4934
Pm 2.0862 -1.8984 0.9289
Pm 2.0862 -1.8984 6.2822
Au 2.0862 4.8975 3.6056
Au 2.0862 -4.8975 10.8168
S 0.0000 0.0000 0.0000
S 0.0000 0.0000 7.2112
S 2.0862 3.5032 1.4557
S 2.0862 3.5032 5.7554
S 2.0862 0.9402 10.8168
S 2.0862 -0.9402 3.6056
S 2.0862 -3.5032 8.6669
S 2.0862 -3.5032 12.9666
```

(14)
VASP calculation (PBE) on an optimized crystal structure of Pm5NdCd6.

```
12
Lattice="5.4052 0.0000 0.0000 0.0000 7.7181 0.0000 -2.6886 0.0000 8.1148" Properties=species:S:1:pos:R:3 pbc="T T T"
Pm 0.0000 0.0000 0.0000
Pm 0.0087 3.8590 5.4069
Pm 0.0087 0.0000 5.4165
Pm 2.7080 0.0000 2.6983
Pm 2.7080 3.8590 2.7079
Nd 0.0000 3.8590 0.0000
Cd 0.0059 1.9200 2.7157
Cd 0.0059 5.7981 2.7157
Cd 2.7026 1.9204 0.0000
Cd 2.7026 5.7977 0.0000
Cd 2.7107 1.9200 5.3990
Cd 2.7107 5.7981 5.3990
```

D(E_F), states/eV/f.u.: 14.2

(15)
VASP calculation (PBE) on an optimized crystal structure of La2TmPaP4.

```
8
Lattice="7.0504 0.0000 0.0000 0.0000 4.1024 0.0000 -2.3750 0.0000 6.7647" Properties=species:S:1:pos:R:3 pbc="T T T"
La 0.0000 0.0000 0.0000
La 3.5252 2.0512 0.0000
Tm -1.1875 2.0512 3.3823
Pa 2.3377 0.0000 3.3823
P 0.0090 0.0000 4.9275
P 1.1804 2.0512 1.8433
P 3.4950 2.0512 4.9214
P 4.6664 0.0000 1.8372
```

D(E_F), states/eV/f.u.: 4.5

(16)
VASP calculation (PBE) on an optimized crystal structure of AlCdAg2Te4.

```
8
Lattice="-3.2143 3.2143 6.3275 3.2143 -3.2143 6.3275 3.2143 3.2143 -6.3275" Properties=species:S:1:pos:R:3 pbc="T T T"
Al 0.0000 0.0000 0.0000
Cd 0.0000 3.2143 3.1637
Ag 3.2143 0.0000 3.1637
Ag 0.0000 0.0000 6.3275
Te 1.5144 1.5796 -1.5037
Te 4.8490 1.5144 1.5037
Te 1.6998 1.6347 4.8238
Te -1.6347 1.6998 7.8311
```

D(E_F), states/eV/f.u.: 6.2

(17)
VASP calculation (PBE) on an optimized crystal structure of MnIn2Si2.

```
10
Lattice="3.8553 0.0000 0.0000 1.9173 4.8047 0.0000 1.8903 1.2421 9.7931" Properties=species:S:1:pos:R:3 pbc="T T T"
Mn 1.9238 2.3371 1.7689
Mn 5.7391 3.7096 8.0242
In 3.8141 4.6070 6.1119
In 3.8462 4.4520 1.7290
In 3.8168 1.5948 8.0641
In 3.8488 1.4398 3.6812
Si 1.8820 2.5393 5.9759
Si 3.8118 4.1852 9.2599
Si 3.8511 1.8616 0.5332
Si 5.7809 3.5075 3.8172
```

D(E_F), states/eV/f.u.: 1.9

(18)
VASP calculation (PBE) on an optimized crystal structure of La2CrPt.

```
4
Lattice="0.0000 3.6958 3.6958 3.6958 0.0000 3.6958 3.6958 3.6958 0.0000" Properties=species:S:1:pos:R:3 pbc="T T T"
La 1.8479 1.8479 1.8479
La 5.5436 5.5436 5.5436
Cr 0.0000 0.0000 0.0000
Pt 3.6958 3.6958 3.6958
```

D(E_F), states/eV/f.u.: 3.5

(19)
VASP calculation (PBE) on an optimized crystal structure of SmZn5Ir2.

```
8
Lattice="-2.0117 3.8009 4.7130 2.0117 -3.8009 4.7130 2.0117 3.8009 -4.7130" Properties=species:S:1:pos:R:3 pbc="T T T"
Sm 0.0000 0.0000 0.0000
Zn 2.0117 2.4186 -1.4955
Zn 2.0117 2.4186 1.4955
Zn 0.0000 3.8009 0.0000
Zn 0.0000 1.3823 3.2175
Zn 0.0000 1.3823 6.2086
Ir 2.0117 0.0000 2.2338
Ir 0.0000 3.8009 2.4793
```

D(E_F), states/eV/f.u.: 2.6

(20)
VASP calculation (PBE) on an optimized crystal structure of PaBeZnCu.

```
4
Lattice="0.0000 3.2007 3.2007 3.2007 0.0000 3.2007 3.2007 3.2007 0.0000" Properties=species:S:1:pos:R:3 pbc="T T T"
Pa 0.0000 0.0000 0.0000
Be 4.8010 4.8010 4.8010
Zn 3.2007 3.2007 3.2007
Cu 1.6003 1.6003 1.6003
```

D(E_F), states/eV/f.u.: 3.9

(21)
VASP calculation (PBE) on an optimized crystal structure of MnAu2Br.

```
4
Lattice="4.5395 -1.7209 0.0000 4.5395 1.7209 0.0000 -1.1104 0.0000 6.5875" Properties=species:S:1:pos:R:3 pbc="T T T"
Mn 0.0000 0.0000 0.0000
Au 1.5527 0.0000 5.5469
Au 4.1253 0.0000 4.5881
Br 4.9000 0.0000 1.8841
```

D(E_F), states/eV/f.u.: 1.3

(22)
VASP calculation (PBE) on an optimized crystal structure of NaTlOs2O8.

```
12
Lattice="6.0970 0.0000 0.0000 -3.0485 5.2801 0.0000 0.0000 0.0000 7.6614" Properties=species:S:1:pos:R:3 pbc="T T T"
Na 0.0000 0.0000 0.0000
Tl 0.0000 0.0000 3.8307
Os 0.0000 3.5201 2.0718
Os 3.0485 1.7600 5.5895
O -1.4727 4.3356 1.5381
O 0.0301 1.8370 1.5381
O 0.0000 3.5201 3.8354
O 1.6059 0.8924 6.1232
O 1.4426 4.3877 1.5381
O 3.0485 1.7600 3.8260
O 3.0184 3.4432 6.1232
O 4.5211 0.9445 6.1232
```

D(E_F), states/eV/f.u.: 10.5

(23)
VASP calculation (PBE) on an optimized crystal structure of HgTe2OsRu.

```
5
Lattice="5.0762 0.0000 0.0000 0.0000 5.0762 0.0000 0.0000 0.0000 5.1375" Properties=species:S:1:pos:R:3 pbc="T T T"
Hg 0.0000 0.0000 0.0000
Te 0.0000 2.5381 2.5687
Te 2.5381 0.0000 2.5687
Os 2.5381 2.5381 0.0000
Ru 0.0000 0.0000 2.5687
```

D(E_F), states/eV/f.u.: 7.5

(24)
VASP calculation (PBE) on an optimized crystal structure of Hf2V2Au.

```
10
Lattice="6.8515 0.0000 0.0000 0.0000 6.8515 0.0000 0.0000 0.0000 3.8318" Properties=species:S:1:pos:R:3 pbc="T T T"
Hf 1.1933 2.2325 0.0000
Hf 2.2325 5.6582 0.0000
Hf 4.6190 1.1933 0.0000
Hf 5.6582 4.6190 0.0000
V 0.8265 4.2522 1.9159
V 2.5993 0.8265 1.9159
V 4.2522 6.0250 1.9159
V 6.0250 2.5993 1.9159
Au 0.0000 0.0000 1.9159
Au 3.4258 3.4258 1.9159
```

D(E_F), states/eV/f.u.: 5.7

(25)
VASP calculation (PBE) on an optimized crystal structure of Ir2PbAu.

```
4
Lattice="1.4883 0.8593 9.7115 -1.4883 0.8593 9.7115 0.0000 -1.7186 9.7115" Properties=species:S:1:pos:R:3 pbc="T T T"
Ir 0.0000 0.0000 0.0000
Ir 0.0000 0.0000 7.7053
Pb 0.0000 0.0000 14.8828
Au 0.0000 0.0000 21.7137
```

D(E_F), states/eV/f.u.: 4.0

(26)
VASP calculation (PBE) on an optimized crystal structure of La2CoI2.

```
5
Lattice="4.1851 0.0000 0.0000 -2.0399 3.6544 0.0000 -1.4491 -1.5897 11.7249" Properties=species:S:1:pos:R:3 pbc="T T T"
La 0.2044 -0.1113 4.2790
La 0.4917 2.1760 7.4459
Co -1.7445 1.0324 5.8625
I -1.5588 0.9228 9.7029
I 2.2549 1.1419 2.0221
```

D(E_F), states/eV/f.u.: 3.7

VASP energy (eV per atom)
-2.71, -7.30, -5.59, -2.53, -9.51, -5.13, -5.59, -7.69, -7.28, -3.44, -7.54, -6.05, -5.30, -3.15, -7.20, -3.13, -4.99, -6.62, -3.91, -4.52, -4.40, -6.56, -3.93, -8.29, -5.68, -4.80
Total moment (μB/atom)
0.00, 0.43, 0.24, 0.00, 0.00, 2.03, 0.13, 0.00, 0.00, 0.00, 0.00, 0.00, 0.00, 0.21, 0.00, 0.00, 0.00, 0.94, 0.00, 0.00, 1.12, 0.17, 0.46, 0.00, 0.00, 0.00